1.
Here is a relaxed LaAlAu3 crystal from Alexandria. Energies are from GGA-PBE.

Results
ΔE_f = 459 meV per atom
calculated volume = 179.47 Å³/cell
total moment = 0.00 μB per cell
final energy = -16.21 eV/cell

a = 5.6407 Å, b = 5.6407 Å, c = 5.6407 Å
α = 90.00°, β = 90.00°, γ = 90.00°
Closest atoms and distances in Å follow each position.
Space group Pm-3m (No. 221)
Inequivalent atoms, fractional coordinates:
1 La 0.0000 0.0000 0.0000 x1  6 Au 2.82
2 Al 0.5000 0.5000 0.5000 x1  12 Au 3.99
3 Au 0.0000 0.0000 0.5000 x3  2 La 2.82

2.
Here is a relaxed AcInPd crystal from Alexandria. Energies are from GGA-PBE.

Results
ΔE_f = -674 meV per atom
calculated volume = 83.30 Å³/cell
total moment = 0.00 μB per cell
final energy = -14.06 eV/cell

a = 4.8111 Å, b = 4.8111 Å, c = 4.1554 Å
α = 90.00°, β = 90.00°, γ = 120.00°
Closest atoms and distances in Å follow each position.
Space group P-6m2 (No. 187)
Inequivalent atoms, fractional coordinates:
1 Ac 0.0000 0.0000 0.0000 x1  6 Pd 3.47, 6 In 3.47
2 In 0.6667 0.3333 0.5000 x1  3 Pd 2.78
3 Pd 0.3333 0.6667 0.5000 x1  3 In 2.78

3.
Here is a relaxed LiReAu2 crystal from Alexandria. Energies are from GGA-PBE.

Results
ΔE_f = 222 meV per atom
calculated volume = 130.17 Å³/cell
total moment = 0.00 μB per cell
final energy = -40.05 eV/cell

a = 3.1327 Å, b = 4.4198 Å, c = 9.4016 Å
α = 90.00°, β = 90.00°, γ = 90.00°
Closest atoms and distances in Å follow each position.
Space group Cmm2 (No. 35)
Inequivalent atoms, fractional coordinates:
1 Li 0.0000 0.0000 0.0000 x2  2 Au 2.68, 4 Li 2.71, 2 Re 2.76
2 Re 0.0000 0.5000 0.2412 x2  4 Re 2.71, 2 Li 2.76, 2 Au 2.85
3 Au 0.0000 0.0000 0.4947 x2  6 Au 2.71-3.02, 2 Re 2.85
4 Au 0.0000 0.5000 0.7690 x2  2 Li 2.68, 4 Au 2.71

4.
Here is a relaxed Sm3CuSiSe7 crystal from Alexandria. Energies are from GGA-PBE.

Results
formation energy (no corrections) = -1350 meV per atom
calculated volume = 582.51 Å³/cell
total moment = 0.00 μB per cell
final energy = -128.55 eV/cell

a = 10.5402 Å, b = 10.5402 Å, c = 6.0544 Å
α = 90.00°, β = 90.00°, γ = 120.00°
Closest atoms and distances in Å follow each position.
Space group P6_3 (No. 173)
Inequivalent atoms, fractional coordinates:
1 Sm 0.1276 0.3551 0.0000 x6  8 Se 2.94-3.27, 1 Cu 3.29
2 Cu 0.0000 0.0000 0.4691 x2  3 Se 2.38
3 Si 0.3333 0.6667 0.5887 x2  4 Se 2.27-2.31
4 Se 0.0929 0.2576 0.4808 x6  1 Cu 2.38
5 Se 0.1043 0.5834 0.7407 x6  1 Si 2.31
6 Se 0.3333 0.6667 0.2138 x2  1 Si 2.27

5.
Here is a relaxed BeCu3W crystal from Alexandria. Energies are from GGA-PBE.

Results
ΔE_f = 687 meV per atom
calculated volume = 61.95 Å³/cell
total moment = 0.00 μB per cell
final energy = -25.53 eV/cell

a = 3.9568 Å, b = 3.9568 Å, c = 3.9568 Å
α = 90.00°, β = 90.00°, γ = 90.00°
Closest atoms and distances in Å follow each position.
Space group Pm-3m (No. 221)
Inequivalent atoms, fractional coordinates:
1 Be 0.0000 0.0000 0.0000 x1  6 Cu 1.98
2 Cu 0.0000 0.0000 0.5000 x3  2 Be 1.98
3 W 0.5000 0.5000 0.5000 x1  12 Cu 2.80

6.
Here is a relaxed RbHg2 crystal from Alexandria. Energies are from GGA-PBE.

Results
ΔE_f = -209 meV per atom
calculated volume = 216.31 Å³/cell
total moment = 0.00 μB per cell
final energy = -4.40 eV/cell

a = 4.2650 Å, b = 4.2650 Å, c = 11.8916 Å
α = 90.00°, β = 90.00°, γ = 90.00°
Closest atoms and distances in Å follow each position.
Space group I4/mmm (No. 139)
Inequivalent atoms, fractional coordinates:
1 Rb 0.0000 0.0000 0.0000 x2  10 Hg 3.60-3.82
2 Hg 0.0000 0.0000 0.3025 x4  4 Hg 3.26, 1 Rb 3.60

7.
Here is a relaxed Rb2BeCF crystal from Alexandria. Energies are from GGA-PBE.

Results
formation energy (no corrections) = 597 meV per atom
calculated volume = 135.95 Å³/cell
total moment = 2.72 μB per cell
final energy = -13.77 eV/cell

a = 5.7646 Å, b = 5.7646 Å, c = 4.0910 Å
α = 90.00°, β = 90.00°, γ = 90.00°
Closest atoms and distances in Å follow each position.
Space group P4/mmm (No. 123)
Inequivalent atoms, fractional coordinates:
1 Rb 0.0000 0.5000 0.0000 x2  2 F 2.88
2 Be 0.0000 0.0000 0.5000 x1  2 F 2.05
3 C 0.5000 0.5000 0.5000 x1  8 Rb 3.53
4 F 0.0000 0.0000 0.0000 x1  2 Be 2.05

8.
Here is a relaxed KIn2Ni2 crystal from Alexandria. Energies are from GGA-PBE.

Results
ΔE_f = 86 meV per atom
calculated volume = 193.63 Å³/cell
total moment = 0.00 μB per cell
final energy = -35.41 eV/cell

a = 8.1431 Å, b = 8.1431 Å, c = 2.9200 Å
α = 90.00°, β = 90.00°, γ = 90.00°
Closest atoms and distances in Å follow each position.
Space group P4/mbm (No. 127)
Inequivalent atoms, fractional coordinates:
1 K 0.0000 0.0000 0.0000 x2  2 K 2.92, 4 Ni 3.09
2 In 0.1397 0.3603 0.5000 x4  6 Ni 2.79-2.81, 2 In 2.92
3 Ni 0.1519 0.6519 0.0000 x4  6 In 2.79-2.81, 2 Ni 2.92, 2 K 3.09